[1]
Ba3Ce3TmSe8: optimized geometry, PBE-GGA.

Structure (POSCAR):
```
Ba3Ce3TmSe8
1.0
4.3206 2.4945 7.5773
-4.3206 2.4945 7.5773
0.0000 -4.9890 7.5773
Ba Ce Tm Se
3 3 1 8
Cartesian
-2.1603 -1.2473 7.5773 Ba
-2.1603 1.2473 15.1546 Ba
0.0000 2.4945 7.5773 Ba
-4.3206 0.0000 11.3660 Ce
-2.1603 1.2473 3.7887 Ce
2.1603 1.2473 3.7887 Ce
0.0000 0.0000 11.3660 Tm
0.0000 0.0000 5.4835 Se
-2.0841 -1.2033 12.9719 Se
0.0000 -2.4065 9.7600 Se
-2.0841 1.2033 9.7600 Se
2.0841 -1.2033 12.9719 Se
0.0000 2.4066 12.9719 Se
2.0841 1.2033 9.7600 Se
0.0000 0.0000 17.2484 Se
```

## Properties
**Formation energy (no corrections)**: -1.8796 eV per atom
**Symmetry**: No. 166

---

[2]
RbHNO2: optimized geometry, PBE-GGA.

Structure (POSCAR):
```
RbHNO2
1.0
4.8769 0.0000 0.0000
0.0000 4.8769 0.0000
0.0000 0.0000 2.7801
Rb H N O
1 1 1 2
Cartesian
0.0000 0.0000 0.0000 Rb
2.4384 2.4384 1.3900 H
2.4384 2.4384 0.0000 N
0.0000 2.4384 1.3900 O
2.4384 0.0000 1.3900 O
```

## Properties
**Symmetry**: No. 123
**Raw total energy**: -3.3122 eV/atom

---

[3]
CuNi2Ir: optimized geometry, PBE-GGA.

Structure (POSCAR):
```
CuNi2Ir
1.0
-1.8220 1.8220 3.6629
1.8220 -1.8220 3.6629
1.8220 1.8220 -3.6629
Cu Ni Ir
1 2 1
Cartesian
0.0000 0.0000 0.0000 Cu
0.0000 0.0000 3.6629 Ni
0.0000 1.8220 1.8314 Ni
1.8220 0.0000 1.8314 Ir
```

## Properties
**Symmetry**: No. 119
**Energy of formation from the pure elements**: 85 meV per atom

---

[4]
Tm2CuHPt6: optimized geometry, PBE-GGA.

Structure (POSCAR):
```
Tm2CuHPt6
1.0
4.8216 -2.7843 0.0000
4.8216 2.7843 0.0000
-3.2061 0.0000 6.1578
Tm Cu H Pt
2 1 1 6
Cartesian
1.6054 0.0000 0.8297 Tm
4.8316 0.0000 5.3280 Tm
4.8216 0.0000 0.0000 Cu
-1.6031 0.0000 3.0789 H
0.0244 0.0000 4.2604 Pt
2.4138 1.3801 4.2640 Pt
4.0232 1.3801 1.8937 Pt
2.4138 -1.3801 4.2640 Pt
4.0232 -1.3801 1.8937 Pt
6.4127 0.0000 1.8974 Pt
```

## Properties
**Symmetry**: No. 12
**Raw total energy**: -5.9709 eV/atom

---

[5]
RbYPbCl6: optimized geometry, PBE-GGA.

Structure (POSCAR):
```
RbYPbCl6
1.0
7.3667 0.0000 0.0000
-3.6833 6.3797 0.0000
0.0000 0.0000 14.0283
Rb Y Pb Cl
2 2 2 12
Cartesian
0.0000 0.0000 0.0000 Rb
0.0000 0.0000 7.0141 Rb
0.0000 4.2532 3.5071 Y
3.6833 2.1266 10.5212 Y
0.0000 4.2532 10.5212 Pb
3.6833 2.1266 3.5071 Pb
-1.2237 2.4500 1.9718 Cl
-2.1734 4.0950 5.0423 Cl
1.2237 2.4500 5.0423 Cl
-0.9497 6.2144 1.9718 Cl
2.7336 0.1653 8.9860 Cl
1.5100 2.2847 12.0564 Cl
2.1734 4.0950 1.9718 Cl
0.9497 6.2144 5.0423 Cl
4.6331 0.1653 12.0564 Cl
2.4597 3.9297 8.9860 Cl
5.8567 2.2847 8.9860 Cl
4.9070 3.9297 12.0564 Cl
```

## Properties
**Formation energy (no corrections)**: -1.8784 eV per atom
**Symmetry**: No. 163

---

[6]
ScCF: optimized geometry, PBE-GGA.

Structure (POSCAR):
```
ScCF
1.0
3.4003 0.0000 0.0000
1.6834 3.5687 0.0000
0.0038 1.6939 6.0582
Sc C F
2 2 2
Cartesian
0.8545 0.7315 1.3279 Sc
4.2330 4.5311 4.7303 Sc
2.5370 2.3403 0.3749 C
2.5505 2.9223 5.6833 C
0.8530 1.5066 3.5962 F
4.2345 3.7560 2.4619 F
```

## Properties
**Formation energy (no corrections)**: -1.8734 eV per atom
**Symmetry**: No. 2

---

[7]
Tb3DyTl4S8: optimized geometry, PBE-GGA.

Structure (POSCAR):
```
Tb3DyTl4S8
1.0
4.0459 2.3359 7.5178
-4.0459 2.3359 7.5178
0.0000 -4.6718 7.5178
Tb Dy Tl S
3 1 4 8
Cartesian
-2.0230 -1.1680 7.5178 Tb
-2.0230 1.1680 15.0356 Tb
0.0000 2.3359 7.5178 Tb
0.0000 0.0000 0.0000 Dy
-4.0459 0.0000 11.2767 Tl
-2.0230 1.1680 3.7589 Tl
2.0230 1.1680 3.7589 Tl
0.0000 0.0000 11.2767 Tl
0.0000 -2.3438 9.0089 S
-2.0298 1.1719 9.0089 S
-2.0298 -1.1719 13.5445 S
0.0000 0.0000 6.0233 S
0.0000 0.0000 16.5301 S
2.0298 1.1719 9.0089 S
2.0298 -1.1719 13.5445 S
0.0000 2.3438 13.5445 S
```

## Properties
**Formation energy (no corrections)**: -1.4893 eV per atom
**Symmetry**: No. 166

---

[8]
La4PdI5: optimized geometry, PBE-GGA.

Structure (POSCAR):
```
La4PdI5
1.0
9.9670 -2.1284 0.0000
9.9670 2.1284 0.0000
-2.0061 0.0000 9.1464
La Pd I
4 1 5
Cartesian
-0.4085 0.0000 1.9348 La
4.9637 0.0000 8.4604 La
12.9641 0.0000 0.6860 La
18.3363 0.0000 7.2115 La
9.9670 0.0000 0.0000 Pd
2.6582 0.0000 3.1403 I
1.7851 0.0000 7.4208 I
8.9639 0.0000 4.5732 I
16.1427 0.0000 1.7255 I
15.2696 0.0000 6.0061 I
```

## Properties
**Formation energy (no corrections)**: -1.2263 eV per atom
**Symmetry**: No. 12